Density functional theory data (GGA-PBEsol) for crystalline LiIr at its relaxed geometry.

Results
Its density of states at the Fermi level is 0.852 states/eV per atom. The calculation puts the formation energy at -0.0786 eV per atom. For the calculated volume, the calculation gives 107.7 Å³ per cell.

a b c (Å): 2.613 9.762 4.223
angles (deg): 90.00 90.00 90.00
Atoms (fractional coordinates):
Li: 0.000 0.042 0.250
Li: 0.000 0.958 0.750
Li: 0.500 0.458 0.750
Li: 0.500 0.542 0.250
Ir: 0.000 0.292 0.250
Ir: 0.000 0.708 0.750
Ir: 0.500 0.208 0.750
Ir: 0.500 0.792 0.250